{"formula": "ZnSn2Bi", "functional": "PBE", "state": "optimized geometry", "lattice": [[2.2224, 1.2831, 6.4043], [-2.2224, 1.2831, 6.4043], [0.0000, -2.5662, 6.4043]], "species": ["Zn", "Sn", "Sn", "Bi"], "frac_coords": [[0.0000, 0.0000, 0.0000], [0.2668, 0.2668, 0.2668], [0.7332, 0.7332, 0.7332], [0.5000, 0.5000, 0.5000]], "sg": "R-3m (166)", "polymorph_energy_ev_per_atom": 0.012}

{"formula": "AlRe3", "functional": "PBE", "state": "optimized geometry", "lattice": [[3.9044, 0.0000, 0.0000], [0.0000, 3.9044, 0.0000], [0.0000, 0.0000, 3.9044]], "species": ["Al", "Re", "Re", "Re"], "frac_coords": [[0.0000, 0.0000, 0.0000], [0.0000, 0.5000, 0.5000], [0.5000, 0.0000, 0.5000], [0.5000, 0.5000, 0.0000]], "sg": "Pm-3m (221)", "total_energy_ev_per_atom": -10.038}

{"formula": "AcHo2Br", "functional": "PBE", "state": "optimized geometry", "lattice": [[1.7930, 1.0352, 11.6948], [-1.7930, 1.0352, 11.6948], [0.0000, -2.0704, 11.6948]], "species": ["Ac", "Ho", "Ho", "Br"], "frac_coords": [[0.0000, 0.0000, 0.0000], [0.1003, 0.1003, 0.1003], [0.8997, 0.8997, 0.8997], [0.5000, 0.5000, 0.5000]], "formation_energy_uncorrected_mev_per_atom": -219.1, "sg": "R-3m (166)"}

{"formula": "Mn2RhC", "functional": "PBE", "state": "optimized geometry", "lattice": [[1.4093, 0.8137, 6.3753], [-1.4093, 0.8137, 6.3753], [0.0000, -1.6273, 6.3753]], "species": ["Mn", "Mn", "Rh", "C"], "frac_coords": [[0.0000, 0.0000, 0.0000], [0.2201, 0.2201, 0.2201], [0.7754, 0.7754, 0.7754], [0.6112, 0.6112, 0.6112]], "sg": "R3m (160)", "total_energy_ev_per_atom": -8.757}

{"formula": "YInNiAu", "functional": "PBE", "state": "optimized geometry", "lattice": [[0.0000, 3.4000, 3.4000], [3.4000, 0.0000, 3.4000], [3.4000, 3.4000, 0.0000]], "species": ["Y", "In", "Ni", "Au"], "frac_coords": [[0.0000, 0.0000, 0.0000], [0.5000, 0.5000, 0.5000], [0.2500, 0.2500, 0.2500], [0.7500, 0.7500, 0.7500]], "sg": "F-43m (216)", "total_energy_ev_per_atom": -5.041}

{"formula": "Be11CuOs", "functional": "PBE", "state": "optimized geometry", "lattice": [[2.1116, -5.0779, 0.0000], [2.1116, 5.0779, 0.0000], [-2.0923, 0.0000, 5.2207]], "species": ["Be", "Be", "Be", "Be", "Be", "Be", "Be", "Be", "Be", "Be", "Be", "Cu", "Os"], "frac_coords": [[0.0000, 0.0000, 0.0000], [0.0000, 0.5000, 0.5000], [0.0169, 0.6613, 0.1596], [0.2867, 0.4986, 0.2968], [0.3387, 0.9831, 0.8404], [0.4986, 0.2867, 0.2968], [0.5000, 0.0000, 0.5000], [0.5014, 0.7133, 0.7032], [0.6613, 0.0169, 0.1596], [0.7133, 0.5014, 0.7032], [0.9831, 0.3387, 0.8404], [0.5000, 0.5000, 0.0000], [0.0000, 0.0000, 0.5000]], "sg": "C2/m (12)", "total_energy_ev_per_atom": -4.440}

{"formula": "ScNbVOs", "functional": "PBE", "state": "optimized geometry", "lattice": [[0.0000, 3.2237, 3.2237], [3.2237, 0.0000, 3.2237], [3.2237, 3.2237, 0.0000]], "species": ["Sc", "Nb", "V", "Os"], "frac_coords": [[0.0000, 0.0000, 0.0000], [0.5000, 0.5000, 0.5000], [0.2500, 0.2500, 0.2500], [0.7500, 0.7500, 0.7500]], "sg": "F-43m (216)", "total_energy_ev_per_atom": -9.340}

{"formula": "Cu3Si", "functional": "PBE", "state": "optimized geometry", "lattice": [[1.3214, 0.7629, 8.1456], [-1.3214, 0.7629, 8.1456], [0.0000, -1.5259, 8.1456]], "species": ["Cu", "Cu", "Cu", "Si"], "frac_coords": [[0.0000, 0.0000, 0.0000], [0.2485, 0.2485, 0.2485], [0.7515, 0.7515, 0.7515], [0.5000, 0.5000, 0.5000]], "formation_energy_uncorrected_mev_per_atom": 31.9, "sg": "R-3m (166)"}

{"formula": "Y2AlTl", "functional": "PBE", "state": "optimized geometry", "lattice": [[-1.6772, 2.9309, 6.2651], [1.6772, -2.9309, 6.2651], [1.6772, 2.9309, -6.2651]], "species": ["Y", "Y", "Al", "Tl"], "frac_coords": [[0.2445, 0.2445, 0.0000], [0.7555, 0.7555, 0.0000], [0.0000, 0.0000, 0.0000], [0.5000, 0.5000, 0.0000]], "sg": "Immm (71)", "total_energy_ev_per_atom": -4.373}

{"formula": "Nd3CO6", "functional": "PBE", "state": "optimized geometry", "lattice": [[4.5790, -5.6797, 0.0000], [4.5790, 5.6797, 0.0000], [0.0000, 0.0000, 6.0280]], "species": ["Nd", "Nd", "Nd", "Nd", "Nd", "Nd", "C", "C", "O", "O", "O", "O", "O", "O", "O", "O", "O", "O", "O", "O"], "frac_coords": [[0.0992, 0.9008, 0.5000], [0.1838, 0.4091, 0.5240], [0.4091, 0.1838, 0.0240], [0.5909, 0.8162, 0.5240], [0.8162, 0.5909, 0.0240], [0.9008, 0.0992, 0.0000], [0.3155, 0.6845, 0.1861], [0.6845, 0.3155, 0.6861], [0.1316, 0.6171, 0.1838], [0.1518, 0.1695, 0.2581], [0.1695, 0.1518, 0.7581], [0.2869, 0.7131, 0.6380], [0.3829, 0.8684, 0.1838], [0.4323, 0.5677, 0.2166], [0.5677, 0.4323, 0.7166], [0.6171, 0.1316, 0.6838], [0.7131, 0.2869, 0.1380], [0.8305, 0.8482, 0.2581], [0.8482, 0.8305, 0.7581], [0.8684, 0.3829, 0.6838]], "formation_energy_uncorrected_mev_per_atom": -2594.0, "sg": "Cmc2_1 (36)"}

{"formula": "BeNbIN2", "functional": "PBE", "state": "optimized geometry", "lattice": [[4.0036, 0.0000, 0.0000], [0.0000, 4.0036, 0.0000], [0.0000, 0.0000, 5.9614]], "species": ["Be", "Nb", "I", "N", "N"], "frac_coords": [[0.0000, 0.0000, 0.0000], [0.5000, 0.5000, 0.5000], [0.5000, 0.5000, 0.0000], [0.0000, 0.5000, 0.5000], [0.5000, 0.0000, 0.5000]], "formation_energy_uncorrected_mev_per_atom": 736.8, "sg": "P4/mmm (123)", "polymorph_energy_ev_per_atom": 0.000}

{"formula": "Mn4Co", "functional": "PBE", "state": "optimized geometry", "lattice": [[-2.7605, 2.7605, 1.7483], [2.7605, -2.7605, 1.7483], [2.7605, 2.7605, -1.7483]], "species": ["Mn", "Mn", "Mn", "Mn", "Co"], "frac_coords": [[0.1033, 0.7031, 0.8063], [0.2969, 0.1033, 0.4002], [0.7031, 0.8967, 0.5998], [0.8967, 0.2969, 0.1937], [0.5000, 0.5000, 0.0000]], "sg": "I4/m (87)", "polymorph_energy_ev_per_atom": 0.000}

{"formula": "SmNi2H8", "functional": "PBE", "state": "optimized geometry", "lattice": [[-2.0726, 2.0726, 4.9019], [2.0726, -2.0726, 4.9019], [2.0726, 2.0726, -4.9019]], "species": ["Sm", "Ni", "Ni", "H", "H", "H", "H", "H", "H", "H", "H"], "frac_coords": [[0.0000, 0.0000, 0.0000], [0.2500, 0.7500, 0.5000], [0.7500, 0.2500, 0.5000], [0.1192, 0.1192, 0.5634], [0.1192, 0.5557, 0.0000], [0.4443, 0.4443, 0.5634], [0.4443, 0.8808, 0.0000], [0.5557, 0.1192, 0.0000], [0.5557, 0.5557, 0.4366], [0.8808, 0.4443, 0.0000], [0.8808, 0.8808, 0.4366]], "sg": "I4/mmm (139)", "total_energy_ev_per_atom": -3.962}

{"formula": "AlGaCu2Se2S2", "functional": "PBE", "state": "optimized geometry", "lattice": [[3.8861, -5.4506, 0.0000], [3.8861, 5.4506, 0.0000], [-3.8712, 0.0000, 3.8899]], "species": ["Al", "Ga", "Cu", "Cu", "Se", "Se", "S", "S"], "frac_coords": [[0.0000, 0.0000, 0.0000], [0.7584, 0.2416, 0.5000], [0.2716, 0.7284, 0.5000], [0.4924, 0.5076, 0.0000], [0.3755, 0.1166, 0.5033], [0.8834, 0.6245, 0.4967], [0.1251, 0.3610, 0.9949], [0.6390, 0.8749, 0.0051]], "formation_energy_uncorrected_mev_per_atom": -617.8, "sg": "C2 (5)"}

{"formula": "Sm3Ni7Ru2", "functional": "PBE", "state": "optimized geometry", "lattice": [[2.5241, 1.4573, 8.4196], [-2.5241, 1.4573, 8.4196], [0.0000, -2.9146, 8.4196]], "species": ["Sm", "Sm", "Sm", "Ni", "Ni", "Ni", "Ni", "Ni", "Ni", "Ni", "Ru", "Ru"], "frac_coords": [[0.0000, 0.0000, 0.0000], [0.1382, 0.1382, 0.1382], [0.8618, 0.8618, 0.8618], [0.0834, 0.5829, 0.5829], [0.4171, 0.4171, 0.9166], [0.4171, 0.9166, 0.4171], [0.5000, 0.5000, 0.5000], [0.5829, 0.0834, 0.5829], [0.5829, 0.5829, 0.0834], [0.9166, 0.4171, 0.4171], [0.3325, 0.3325, 0.3325], [0.6675, 0.6675, 0.6675]], "sg": "R-3m (166)", "total_energy_ev_per_atom": -6.368}

{"formula": "Zr2PaPd", "functional": "PBE", "state": "optimized geometry", "lattice": [[3.3118, 0.0000, 0.0000], [0.0000, 3.3118, 0.0000], [0.0000, 0.0000, 7.9488]], "species": ["Zr", "Zr", "Pa", "Pd"], "frac_coords": [[0.0000, 0.0000, 0.2174], [0.0000, 0.0000, 0.7826], [0.5000, 0.5000, 0.5000], [0.5000, 0.5000, 0.0000]], "sg": "P4/mmm (123)", "polymorph_energy_ev_per_atom": 0.000}

{"formula": "Co3SnBr", "functional": "PBE", "state": "optimized geometry", "lattice": [[4.9019, 0.0000, 0.0000], [0.0000, 4.9019, 0.0000], [0.0000, 0.0000, 4.9019]], "species": ["Co", "Co", "Co", "Sn", "Br"], "frac_coords": [[0.0000, 0.0000, 0.5000], [0.0000, 0.5000, 0.0000], [0.5000, 0.0000, 0.0000], [0.0000, 0.0000, 0.0000], [0.5000, 0.5000, 0.5000]], "formation_energy_uncorrected_mev_per_atom": 1354.0, "sg": "Pm-3m (221)", "polymorph_energy_ev_per_atom": 0.366}

{"formula": "Pm3NdTl4", "functional": "PBE", "state": "optimized geometry", "lattice": [[3.8872, 0.0000, 0.0000], [0.0000, 3.8872, 0.0000], [0.0000, 0.0000, 15.5619]], "species": ["Pm", "Pm", "Pm", "Nd", "Tl", "Tl", "Tl", "Tl"], "frac_coords": [[0.0000, 0.0000, 0.0000], [0.0000, 0.0000, 0.2488], [0.0000, 0.0000, 0.7512], [0.0000, 0.0000, 0.5000], [0.5000, 0.5000, 0.1243], [0.5000, 0.5000, 0.3729], [0.5000, 0.5000, 0.6271], [0.5000, 0.5000, 0.8757]], "sg": "P4/mmm (123)", "polymorph_energy_ev_per_atom": 0.000}

{"formula": "Cd2Au3", "functional": "PBE", "state": "optimized geometry", "lattice": [[-1.5506, 1.5506, 9.9279], [1.5506, -1.5506, 9.9279], [1.5506, 1.5506, -9.9279]], "species": ["Cd", "Cd", "Au", "Au", "Au"], "frac_coords": [[0.1014, 0.1014, 0.0000], [0.8986, 0.8986, 0.0000], [0.2996, 0.2996, 0.0000], [0.5000, 0.5000, 0.0000], [0.7004, 0.7004, 0.0000]], "sg": "I4/mmm (139)", "total_energy_ev_per_atom": -2.465}

{"formula": "As2BrCl", "functional": "PBE", "state": "optimized geometry", "lattice": [[4.3112, 0.0000, 0.0000], [0.0000, 3.8748, 0.0000], [-0.1051, 0.0000, 7.8381]], "species": ["As", "As", "Br", "Cl"], "frac_coords": [[0.0000, 0.0000, 0.0000], [0.3903, 0.5000, 0.0131], [0.4155, 0.5000, 0.3153], [0.9691, 0.0000, 0.7171]], "formation_energy_uncorrected_mev_per_atom": -320.3, "sg": "Pm (6)", "polymorph_energy_ev_per_atom": 0.000}

{"formula": "Ce2UPt9", "functional": "PBE", "state": "optimized geometry", "lattice": [[2.7031, 1.5607, 8.9844], [-2.7031, 1.5607, 8.9844], [0.0000, -3.1213, 8.9844]], "species": ["Ce", "Ce", "U", "Pt", "Pt", "Pt", "Pt", "Pt", "Pt", "Pt", "Pt", "Pt"], "frac_coords": [[0.1387, 0.1387, 0.1387], [0.8613, 0.8613, 0.8613], [0.0000, 0.0000, 0.0000], [0.0820, 0.5858, 0.5858], [0.3328, 0.3328, 0.3328], [0.4142, 0.4142, 0.9180], [0.4142, 0.9180, 0.4142], [0.5000, 0.5000, 0.5000], [0.5858, 0.0820, 0.5858], [0.5858, 0.5858, 0.0820], [0.6672, 0.6672, 0.6672], [0.9180, 0.4142, 0.4142]], "sg": "R-3m (166)", "polymorph_energy_ev_per_atom": 0.112}

{"formula": "Li2LaRhO4", "functional": "PBE", "state": "optimized geometry", "lattice": [[-2.7725, 2.7725, 3.2612], [2.7725, -2.7725, 3.2612], [2.7725, 2.7725, -3.2612]], "species": ["Li", "Li", "La", "Rh", "O", "O", "O", "O"], "frac_coords": [[0.2500, 0.7500, 0.5000], [0.7500, 0.2500, 0.5000], [0.0000, 0.0000, 0.0000], [0.5000, 0.5000, 0.0000], [0.1248, 0.1248, 0.5471], [0.4223, 0.8752, 0.0000], [0.5777, 0.5777, 0.4529], [0.8752, 0.4223, 0.0000]], "formation_energy_uncorrected_mev_per_atom": -1774.5, "sg": "I-42m (121)"}

{"formula": "La2OsBr", "functional": "PBE", "state": "optimized geometry", "lattice": [[-2.2695, 3.0491, 3.7984], [2.2695, -3.0491, 3.7984], [2.2695, 3.0491, -3.7984]], "species": ["La", "La", "Os", "Br"], "frac_coords": [[0.2279, 0.2279, 0.0000], [0.7721, 0.7721, 0.0000], [0.0000, 0.5000, 0.5000], [0.5000, 0.0000, 0.5000]], "formation_energy_uncorrected_mev_per_atom": -460.7, "sg": "Immm (71)", "polymorph_energy_ev_per_atom": 0.344}

{"formula": "KYGeI6", "functional": "PBE", "state": "optimized geometry", "lattice": [[7.8293, 0.0000, 0.0000], [-3.9147, 6.7804, 0.0000], [0.0000, 0.0000, 15.6605]], "species": ["K", "K", "Y", "Y", "Ge", "Ge", "I", "I", "I", "I", "I", "I", "I", "I", "I", "I", "I", "I"], "frac_coords": [[0.0000, 0.0000, 0.0000], [0.0000, 0.0000, 0.5000], [0.3333, 0.6667, 0.2500], [0.6667, 0.3333, 0.7500], [0.3333, 0.6667, 0.7500], [0.6667, 0.3333, 0.2500], [0.0014, 0.3689, 0.6383], [0.0014, 0.6325, 0.8617], [0.3675, 0.3689, 0.8617], [0.3675, 0.9986, 0.6383], [0.3689, 0.0014, 0.1383], [0.3689, 0.3675, 0.3617], [0.6311, 0.6325, 0.6383], [0.6311, 0.9986, 0.8617], [0.6325, 0.0014, 0.3617], [0.6325, 0.6311, 0.1383], [0.9986, 0.3675, 0.1383], [0.9986, 0.6311, 0.3617]], "formation_energy_uncorrected_mev_per_atom": -1060.8, "sg": "P-31c (163)"}

{"formula": "Np2Ga5PtRh2", "functional": "PBE", "state": "optimized geometry", "lattice": [[11.0399, 0.0000, 0.0000], [0.0000, 11.0399, 0.0000], [0.0000, 0.0000, 2.8858]], "species": ["Np", "Np", "Np", "Np", "Ga", "Ga", "Ga", "Ga", "Ga", "Ga", "Ga", "Ga", "Ga", "Ga", "Pt", "Pt", "Rh", "Rh", "Rh", "Rh"], "frac_coords": [[0.1797, 0.3203, 0.0000], [0.3203, 0.8203, 0.0000], [0.6797, 0.1797, 0.0000], [0.8203, 0.6797, 0.0000], [0.0000, 0.5000, 0.5000], [0.0486, 0.8043, 0.5000], [0.1957, 0.0486, 0.5000], [0.3043, 0.5486, 0.5000], [0.4514, 0.3043, 0.5000], [0.5000, 0.0000, 0.5000], [0.5486, 0.6957, 0.5000], [0.6957, 0.4514, 0.5000], [0.8043, 0.9514, 0.5000], [0.9514, 0.1957, 0.5000], [0.0000, 0.0000, 0.0000], [0.5000, 0.5000, 0.0000], [0.1338, 0.6338, 0.0000], [0.3662, 0.1338, 0.0000], [0.6338, 0.8662, 0.0000], [0.8662, 0.3662, 0.0000]], "sg": "P4/mbm (127)", "total_energy_ev_per_atom": -6.560}

The evaluated theoretical density for the records listed, in turn: 7.76 16.34 8.12 8.51 9.70 5.23 9.39 7.37 5.52 5.73 4.46 8.68 5.44 4.49 9.51 9.90 5.29 9.86 14.19 3.36 16.60 5.29 8.65 3.84 11.55 Mg/m³.